The following is a PBE calculation of crystalline BaCrCo2 at its relaxed geometry, from Alexandria.

```
BaCrCo2
1.0
-1.691 1.840 1.905
-2.313 -2.126 0.004
3.097 -3.359 5.993
Co Cr Ba
2 1 1
Direct
0.000 0.000 0.093
0.500 0.500 0.235
0.000 0.000 0.405
0.500 0.500 0.767
```

Results
Space group ... P4mm, No. 99
Total energy ... -5.711 eV/atom
Excess energy over the best structure of this formula in the dataset ... 0.3287 eV per atom


The following is a PBE calculation of crystalline CeErInTc at its relaxed geometry, from Alexandria.

```
CeErInTc
1.0
5.093 0.000 0.000
2.546 4.411 0.000
2.546 1.470 4.158
Ce In Er Tc
1 1 1 1
Direct
0.750 0.750 0.750
0.000 0.000 0.000
0.250 0.250 0.250
0.500 0.500 0.500
```

Results
Space group ... F-43m, No. 216
Total energy ... -6.015 eV/atom


The following is a PBE calculation of crystalline HgRuSe2N at its relaxed geometry, from Alexandria.

```
HgRuSe2N
1.0
-0.349 -5.224 0.874
3.061 0.516 4.306
-3.213 0.585 2.214
N Ru Se Hg
1 1 2 1
Direct
0.000 0.000 0.500
0.500 0.500 0.500
0.000 0.500 0.000
0.500 0.000 0.000
0.000 0.000 0.000
```

Results
Formation energy from raw total energies ... 1892 meV per atom
Space group ... P4/mmm, No. 123
Total energy ... -3.082 eV/atom
Excess energy over the best structure of this formula in the dataset ... 1.5219 eV per atom


| no. | magnetic moment (μB per formula unit) | N(E_F) (states/eV/f.u.) |
| --- | --- | --- |
| 1 | 5.74 | 5.34 |
| 2 | 0.00 | 2.84 |
| 3 | 2.90 | 10.02 |